Below is a geometry-optimized ZnTePtO structure, with properties calculated at the GGA-PBE level.

Structure (CIF):
```
data_ZnTePtO
_chemical_formula_sum 'Zn4 Te4 Pt4 O4'
_space_group_name_H-M_alt 'P 1'
_space_group_IT_number 1
_cell_length_a 5.677
_cell_length_b 8.228
_cell_length_c 5.681
_cell_angle_alpha 90.00
_cell_angle_beta 90.00
_cell_angle_gamma 90.00
loop_
_space_group_symop_operation_xyz
'x,y,z'
loop_
_atom_site_label
_atom_site_fract_x
_atom_site_fract_y
_atom_site_fract_z
O1 0.520 0.045 0.365
O2 0.020 0.955 0.365
O3 0.980 0.045 0.865
O4 0.480 0.955 0.865
Pt1 0.499 0.327 0.385
Pt2 0.999 0.673 0.385
Pt3 0.001 0.327 0.885
Pt4 0.501 0.673 0.885
Te1 0.993 0.357 0.385
Te2 0.493 0.643 0.385
Te3 0.507 0.357 0.885
Te4 0.007 0.643 0.885
Zn1 0.250 0.041 0.115
Zn2 0.750 0.959 0.115
Zn3 0.250 0.041 0.615
Zn4 0.750 0.959 0.615
```

Output
SG: Pca2_1 (29)
V: 16.59 Å³/atom
Magnetic moment: 0.0 μB/f.u.
Total energy: -4.4336 eV per atom
Theoretical density: 10.1 Mg/m³

***

Below is a geometry-optimized ErZnNi structure, with properties calculated at the GGA-PBE level.

Structure (CIF):
```
data_ErZnNi
_chemical_formula_sum 'Er3 Zn3 Ni3'
_space_group_name_H-M_alt 'P 1'
_space_group_IT_number 1
_cell_length_a 7.672
_cell_length_b 7.672
_cell_length_c 3.122
_cell_angle_alpha 90.00
_cell_angle_beta 90.00
_cell_angle_gamma 120.00
loop_
_space_group_symop_operation_xyz
'x,y,z'
loop_
_atom_site_label
_atom_site_fract_x
_atom_site_fract_y
_atom_site_fract_z
Er1 0.294 0.000 0.000
Er2 0.000 0.294 0.000
Er3 0.706 0.706 0.000
Ni1 0.624 0.000 0.500
Ni2 0.376 0.376 0.500
Ni3 0.000 0.624 0.500
Zn1 0.667 0.333 0.000
Zn2 0.333 0.667 0.000
Zn3 0.000 0.000 0.500
```

Output
SG: P-62m (189)
ΔE_f: -6 kJ/mol of atoms
V: 17.68 Å³/atom
Magnetic moment: 0.0 μB/f.u.
Theoretical density: 9.1 Mg/m³

***

Below is a geometry-optimized SrPaSi structure, with properties calculated at the GGA-PBE level.

Structure (CIF):
```
data_SrPaSi
_chemical_formula_sum 'Sr1 Pa1 Si1'
_space_group_name_H-M_alt 'P 1'
_space_group_IT_number 1
_cell_length_a 4.986
_cell_length_b 4.986
_cell_length_c 4.986
_cell_angle_alpha 60.00
_cell_angle_beta 60.00
_cell_angle_gamma 60.00
loop_
_space_group_symop_operation_xyz
'x,y,z'
loop_
_atom_site_label
_atom_site_fract_x
_atom_site_fract_y
_atom_site_fract_z
Pa1 0.250 0.250 0.250
Si1 0.000 0.000 0.000
Sr1 0.750 0.750 0.750
```

Output
SG: F-43m (216)
V: 29.21 Å³/atom
Magnetic moment: 1.2 μB/f.u.
Total energy: -5.1862 eV per atom
Theoretical density: 6.6 Mg/m³

***

Below is a geometry-optimized CdFeMo4C2 structure, with properties calculated at the GGA-PBE level.

Structure (CIF):
```
data_CdFeMo4C2
_chemical_formula_sum 'Cd1 Fe1 Mo4 C2'
_space_group_name_H-M_alt 'P 1'
_space_group_IT_number 1
_cell_length_a 3.044
_cell_length_b 3.044
_cell_length_c 13.674
_cell_angle_alpha 90.00
_cell_angle_beta 90.00
_cell_angle_gamma 120.00
loop_
_space_group_symop_operation_xyz
'x,y,z'
loop_
_atom_site_label
_atom_site_fract_x
_atom_site_fract_y
_atom_site_fract_z
C1 0.333 0.667 0.264
C2 0.333 0.667 0.736
Cd1 0.000 0.000 0.000
Fe1 0.667 0.333 0.500
Mo1 0.667 0.333 0.181
Mo2 0.000 0.000 0.352
Mo3 0.000 0.000 0.648
Mo4 0.667 0.333 0.819
```

Output
SG: P-6m2 (187)
V: 13.72 Å³/atom
Magnetic moment: 1.8 μB/f.u.
Total energy: -8.7888 eV per atom
Theoretical density: 8.7 Mg/m³

***

Below is a geometry-optimized LaPbAu2 structure, with properties calculated at the GGA-PBE level.

Structure (CIF):
```
data_LaPbAu2
_chemical_formula_sum 'La4 Pb4 Au8'
_space_group_name_H-M_alt 'P 1'
_space_group_IT_number 1
_cell_length_a 6.611
_cell_length_b 7.259
_cell_length_c 8.446
_cell_angle_alpha 90.00
_cell_angle_beta 90.00
_cell_angle_gamma 90.00
loop_
_space_group_symop_operation_xyz
'x,y,z'
loop_
_atom_site_label
_atom_site_fract_x
_atom_site_fract_y
_atom_site_fract_z
Au1 0.540 0.533 0.228
Au2 0.540 0.967 0.228
Au3 0.040 0.033 0.272
Au4 0.040 0.467 0.272
Au5 0.960 0.533 0.728
Au6 0.960 0.967 0.728
Au7 0.460 0.033 0.772
Au8 0.460 0.467 0.772
La1 0.186 0.750 0.016
La2 0.686 0.250 0.484
La3 0.314 0.750 0.516
La4 0.814 0.250 0.984
Pb1 0.312 0.250 0.063
Pb2 0.812 0.750 0.437
Pb3 0.188 0.250 0.563
Pb4 0.688 0.750 0.937
```

Output
SG: Pnma (62)
V: 25.33 Å³/atom
Magnetic moment: 0.0 μB/f.u.
Total energy: -4.3170 eV per atom
Theoretical density: 12.1 Mg/m³

***

Below is a geometry-optimized GdFe3 structure, with properties calculated at the GGA-PBE level.

Structure (CIF):
```
data_GdFe3
_chemical_formula_sum 'Gd1 Fe3'
_space_group_name_H-M_alt 'P 1'
_space_group_IT_number 1
_cell_length_a 3.948
_cell_length_b 3.948
_cell_length_c 3.948
_cell_angle_alpha 90.00
_cell_angle_beta 90.00
_cell_angle_gamma 90.00
loop_
_space_group_symop_operation_xyz
'x,y,z'
loop_
_atom_site_label
_atom_site_fract_x
_atom_site_fract_y
_atom_site_fract_z
Fe1 0.500 0.500 0.000
Fe2 0.500 0.000 0.500
Fe3 0.000 0.500 0.500
Gd1 0.000 0.000 0.000
```

Output
SG: Pm-3m (221)
ΔE_f: 35 kJ/mol of atoms
V: 15.38 Å³/atom
Magnetic moment: 6.6 μB/f.u.
Theoretical density: 8.8 Mg/m³

***

Which of these has the lowest V? CdFeMo4C2

***

Among the records above, which one has the highest magnetic moment? GdFe3

***

Look up the magnetic moment of the sixth one. 6.6 μB/f.u.